one.
Computed, not measured: an optimized crystal structure of Tl2MoPt at the GGA-PBE level of DFT.

```
Tl2MoPt
1.0
-2.075 2.075 4.611
2.075 -2.075 4.611
2.075 2.075 -4.611
Tl Mo Pt
2 1 1
Cartesian
0.000 0.000 0.000
0.000 2.075 2.305
2.075 0.000 2.305
0.000 0.000 4.611
```

total moment	0.382	μB/atom
space-group type	I-4m2



two.
Computed, not measured: an optimized crystal structure of Tl2MoPt at the GGA-PBE level of DFT.

```
Tl2MoPt
1.0
1.797 -2.442 0.000
1.797 2.442 0.000
0.000 0.000 8.956
Tl Mo Pt
2 1 1
Cartesian
0.000 0.000 2.191
0.000 0.000 6.765
1.797 0.000 4.478
1.797 0.000 0.000
```

total moment	0.000	μB/atom
space-group type	Cmmm



Of all the structures shown, which is most stable? two, and one is the least stable.